A geometry-optimized HfGa3Au structure. Source: Alexandria via LeMat-Bulk, functional PBE.

- DOS at the Fermi energy: 2.436 states/eV/f.u.
- E above lowest polymorph: 0.000 kcal/mol of atoms
- Total magnetic moment: 0.000 Bohr magnetons per cell

Cell and atoms, written as POSCAR:
```
HfGa3Au
1.0
4.3606 0.0000 0.0000
0.0000 5.3171 0.0000
0.0000 0.0000 8.5157
Hf Ga Au
2 6 2
direct
0.2500 0.2500 0.1838
0.7500 0.7500 0.8162
0.2500 0.5126 0.6322
0.2500 0.7500 0.0220
0.2500 0.9874 0.6322
0.7500 0.0126 0.3678
0.7500 0.2500 0.9780
0.7500 0.4874 0.3678
0.2500 0.7500 0.3318
0.7500 0.2500 0.6682
```